A plane-wave DFT calculation with PBE was carried out for HfBeSe2N after structural relaxation.

The value obtained for the total energy is -29.0 eV/cell. For the volume, the calculation gives 15.389 Å³ per atom. The formation energy (no corrections) comes out at 0.06 kcal/mol of atoms. As for the density of states at the Fermi level: 3.3 states/eV/cell. The offset from the most stable computed form comes out at 0.0 meV per atom.

It has space group P4/mmm (No. 123), with a = 4.8905 Å, b = 4.8905 Å, c = 3.2171 Å, α = 90.00°, β = 90.00° and γ = 90.00°. The asymmetric unit holds Hf at (0.0000, 0.0000, 0.0000), Be at (0.5000, 0.5000, 0.5000), Se at (0.0000, 0.5000, 0.5000) and N at (0.5000, 0.5000, 0.0000).